Computed, not measured: a geometry-optimized K2SnAs structure at the PBE-GGA level of DFT.

a b c (Å): 12.5314 12.5314 5.3888
angles (deg): 90.00 90.00 90.00
Last column: nearest neighbours and their distance in Å.
Fractional positions:
K: 0.0554 0.2500 0.1250  2 As 3.28
K: 0.2500 0.5554 0.3750  2 As 3.28
K: 0.2500 0.9446 0.8750  2 As 3.28
K: 0.4446 0.2500 0.6250  2 As 3.28
K: 0.5554 0.7500 0.6250  2 As 3.28
K: 0.7500 0.0554 0.8750  2 As 3.28
K: 0.7500 0.4446 0.3750  2 As 3.28
K: 0.9446 0.7500 0.1250  2 As 3.28
Sn: 0.0000 0.0000 0.5000  2 As 2.69
Sn: 0.0000 0.5000 0.7500  2 As 2.69
Sn: 0.5000 0.0000 0.2500  2 As 2.69
Sn: 0.5000 0.5000 0.0000  2 As 2.69
As: 0.0000 0.0000 0.0000  2 Sn 2.69
As: 0.0000 0.5000 0.2500  2 Sn 2.69
As: 0.5000 0.0000 0.7500  2 Sn 2.69
As: 0.5000 0.5000 0.5000  2 Sn 2.69

Results
SG: No. 122
Energy of formation (eV per atom): -0.09
Energy above the lowest structure with this stoichiometry (meV per atom): 0



Computed, not measured: a geometry-optimized K3SnAs3 structure at the PBE-GGA level of DFT.

a b c (Å): 7.8121 7.8121 8.6623
angles (deg): 93.20 93.20 100.86
Last column: nearest neighbours and their distance in Å.
Fractional positions:
K: 0.1785 0.8215 0.0000  4 As 3.45-3.53
K: 0.2692 0.7308 0.5000  4 As 3.47-3.79, 2 Sn 3.68
K: 0.3653 0.3653 0.1435  5 As 3.14-3.34
K: 0.6347 0.6347 0.8565  5 As 3.14-3.34
K: 0.7308 0.2692 0.5000  4 As 3.47-3.79, 2 Sn 3.68
K: 0.8215 0.1785 0.0000  4 As 3.45-3.53
Sn: 0.1522 0.1522 0.6165  4 As 2.60-2.64
Sn: 0.8478 0.8478 0.3835  4 As 2.60-2.64
As: 0.0995 0.0995 0.3129  2 Sn 2.63-2.64
As: 0.2158 0.4418 0.7918  1 Sn 2.60, 1 As 2.72
As: 0.4418 0.2158 0.7918  1 Sn 2.60, 1 As 2.72
As: 0.5582 0.7842 0.2082  1 Sn 2.60, 1 As 2.72
As: 0.7842 0.5582 0.2082  1 Sn 2.60, 1 As 2.72
As: 0.9005 0.9005 0.6871  2 Sn 2.63-2.64

Results
SG: No. 12
Energy of formation (eV per atom): -0.31



Computed, not measured: a geometry-optimized K2SnAs structure at the PBE-GGA level of DFT.

a b c (Å): 8.0231 8.0231 8.0231
angles (deg): 90.00 90.00 90.00
Last column: nearest neighbours and their distance in Å.
Fractional positions:
K: 0.2500 0.2500 0.2500  4 Sn 3.47, 4 As 3.47
K: 0.2500 0.2500 0.7500  4 As 3.47, 4 Sn 3.47
K: 0.2500 0.7500 0.2500  4 As 3.47, 4 Sn 3.47
K: 0.2500 0.7500 0.7500  4 Sn 3.47, 4 As 3.47
K: 0.7500 0.2500 0.2500  4 As 3.47, 4 Sn 3.47
K: 0.7500 0.2500 0.7500  4 Sn 3.47, 4 As 3.47
K: 0.7500 0.7500 0.2500  4 Sn 3.47, 4 As 3.47
K: 0.7500 0.7500 0.7500  4 As 3.47, 4 Sn 3.47
Sn: 0.0000 0.0000 0.0000  8 K 3.47
Sn: 0.0000 0.5000 0.5000  8 K 3.47
Sn: 0.5000 0.0000 0.5000  8 K 3.47
Sn: 0.5000 0.5000 0.0000  8 K 3.47
As: 0.0000 0.0000 0.5000  8 K 3.47
As: 0.0000 0.5000 0.0000  8 K 3.47
As: 0.5000 0.0000 0.0000  8 K 3.47
As: 0.5000 0.5000 0.5000  8 K 3.47

Results
SG: No. 225
Energy of formation (eV per atom): 0.07
Energy above the lowest structure with this stoichiometry (meV per atom): 159



Computed, not measured: a geometry-optimized KSn2As2 structure at the PBE-GGA level of DFT.

a b c (Å): 8.6255 8.6255 3.7001
angles (deg): 90.00 90.00 90.00
Last column: nearest neighbours and their distance in Å.
Fractional positions:
K: 0.0000 0.0000 0.0000  4 Sn 3.40, 2 K 3.70, 8 As 3.78
K: 0.5000 0.5000 0.0000  4 Sn 3.40, 2 K 3.70, 8 As 3.78
Sn: 0.1272 0.3728 0.0000  6 As 3.01-3.32, 1 Sn 3.10
Sn: 0.3728 0.8728 0.0000  6 As 3.01-3.32, 1 Sn 3.10
Sn: 0.6272 0.1272 0.0000  6 As 3.01-3.32, 1 Sn 3.10
Sn: 0.8728 0.6272 0.0000  6 As 3.01-3.32, 1 Sn 3.10
As: 0.1470 0.6470 0.5000  6 Sn 3.01-3.32
As: 0.3530 0.1470 0.5000  6 Sn 3.01-3.32
As: 0.6470 0.8530 0.5000  6 Sn 3.01-3.32
As: 0.8530 0.3530 0.5000  6 Sn 3.01-3.32

Results
SG: No. 127
Energy of formation (eV per atom): -0.05



Computed, not measured: a geometry-optimized KSn2As2 structure at the PBE-GGA level of DFT.

a b c (Å): 8.5348 8.5348 3.7623
angles (deg): 90.00 90.00 90.00
Last column: nearest neighbours and their distance in Å.
Fractional positions:
K: 0.0000 0.0000 0.0000  4 As 3.33
K: 0.5000 0.5000 0.0000  4 As 3.33
Sn: 0.1381 0.3619 0.5000  6 As 2.99-3.33, 1 Sn 3.33
Sn: 0.3619 0.8619 0.5000  6 As 2.99-3.33, 1 Sn 3.33
Sn: 0.6381 0.1381 0.5000  6 As 2.99-3.33, 1 Sn 3.33
Sn: 0.8619 0.6381 0.5000  6 As 2.99-3.33, 1 Sn 3.33
As: 0.1343 0.6343 0.0000  6 Sn 2.99-3.33, 1 As 3.24, 2 K 3.33
As: 0.3657 0.1343 0.0000  6 Sn 2.99-3.33, 1 As 3.24, 2 K 3.33
As: 0.6343 0.8657 0.0000  6 Sn 2.99-3.33, 1 As 3.24, 2 K 3.33
As: 0.8657 0.3657 0.0000  6 Sn 2.99-3.33, 1 As 3.24, 2 K 3.33

Results
SG: No. 127
Energy of formation (eV per atom): -0.07



Computed, not measured: a geometry-optimized KSnTe3As structure at the PBE-GGA level of DFT.

a b c (Å): 8.9367 5.0732 10.3131
angles (deg): 90.00 107.78 90.00
Last column: nearest neighbours and their distance in Å.
Fractional positions:
K: 0.2479 0.2500 0.2547  7 Te 3.64-3.99
K: 0.7521 0.7500 0.7453  7 Te 3.64-3.99
Sn: 0.3200 0.7500 0.8968  3 Te 3.01-3.23
Sn: 0.6800 0.2500 0.1032  3 Te 3.01-3.23
Te: 0.0560 0.2500 0.8717  1 As 2.67
Te: 0.1890 0.7500 0.5336  3 As 2.74-2.89
Te: 0.4892 0.2500 0.8064  3 Sn 3.01-3.23, 1 As 3.27
Te: 0.5108 0.7500 0.1936  3 Sn 3.01-3.23, 1 As 3.27
Te: 0.8110 0.2500 0.4664  3 As 2.74-2.89
Te: 0.9440 0.7500 0.1283  1 As 2.67
As: 0.1159 0.2500 0.6335  4 Te 2.67-2.89
As: 0.8841 0.7500 0.3665  4 Te 2.67-2.89

Results
SG: No. 11
Formation energy without anion corrections (eV per atom): -0.32



Number 1: E -2.8047 eV/atom. Number 2: E -3.3497 eV/atom. Number 3: E -2.6453 eV/atom. Number 4: E -3.7270 eV/atom. Number 5: E -3.7546 eV/atom. Number 6: E -3.5201 eV/atom.